1.
Compound: Li3Ni4O4F3
Source: Alexandria via LeMat-Bulk
Functional: GGA-PBEsol
Structure: optimized geometry

Summary:
Spin magnetization ... 0.21 μB per formula unit
E_form (uncorrected) ... -1.530 eV per atom
E_tot ... -5.6233 eV/atom

Lattice parameters (Å, degrees): 2.868 2.868 29.046 90.00 90.00 90.00
Space group I4/mmm (No. 139)
Symmetry-distinct sites (fractional):
Li: 0.000 0.000 0.000 x2
Li: 0.000 0.000 0.430 x4
Ni: 0.000 0.000 0.143 x4
Ni: 0.000 0.000 0.286 x4
O: 0.000 0.000 0.216 x4
O: 0.000 0.000 0.357 x4
F: 0.000 0.000 0.068 x4
F: 0.000 0.000 0.500 x2


2.
Compound: FeSiTc3
Source: Alexandria via LeMat-Bulk
Functional: GGA-PBEsol
Structure: optimized geometry

Summary:
Spin magnetization ... 1.00 μB per formula unit
E_form (uncorrected) ... 1.317 eV per atom
E_tot ... -8.3846 eV/atom

Lattice parameters (Å, degrees): 4.301 4.301 4.301 90.00 90.00 90.00
Space group Pm-3m (No. 221)
Symmetry-distinct sites (fractional):
Fe: 0.000 0.000 0.000 x1
Si: 0.500 0.500 0.500 x1
Tc: 0.000 0.000 0.500 x3